Entry from Alexandria: an optimized crystal structure of CdHg2 (PBE-GGA).

Calculated values
Uncorrected energy ... -0.4398 eV per atom
Energy above the lowest structure with this stoichiometry ... 49.6 meV/atom
Crystal system ... hexagonal
ΔE_f ... 19 kJ/mol of formula units

```
6
Lattice="4.625 0.000 0.000 -2.312 4.005 0.000 0.000 0.000 8.942" Properties=species:S:1:pos:R:3 pbc="T T T"
Cd 0.000 0.000 2.235
Cd 0.000 0.000 6.706
Hg 0.000 2.670 0.673
Hg 0.000 2.670 3.798
Hg 2.312 1.335 5.143
Hg 2.312 1.335 8.269
```